VASP calculation (PBE) on a relaxed KAgW2 crystal.

Calculated values
DFT formation energy = 1.06 eV/atom
Energy above the lowest structure with this stoichiometry = 339.3 meV per atom
Density of states at the Fermi level = 4.82 states/eV/f.u.

abc: 8.881 2.674 7.832
angles: 90.00 91.70 90.00
Space group Cm (No. 8)
Unique sites:
K  0.000  0.000  0.000 x2
Ag  0.253  0.500  0.318 x2
W  0.238  0.000  0.666 x2
W  0.489  0.000  0.512 x2